1.
# Ce2SmSnN5 | Alexandria | PBE | optimized geometry
data_Ce2SmSnN5
_space_group_name_H-M_alt 'C m c m'
_space_group_IT_number 63
_space_group_name_Hall '-C 2c 2'
_cell_length_a 3.561
_cell_length_b 14.109
_cell_length_c 11.364
_cell_angle_alpha 90.00
_cell_angle_beta 90.00
_cell_angle_gamma 90.00
loop_
_atom_site_label
_atom_site_type_symbol
_atom_site_fract_x
_atom_site_fract_y
_atom_site_fract_z
Ce1 Ce 0.000 0.138 0.008
Sm1 Sm 0.000 0.271 0.250
Sn1 Sn 0.000 0.491 0.750
N1 N 0.000 0.089 0.250
N2 N 0.000 0.272 0.600
N3 N 0.000 0.411 0.110
# **Total energy**: -7.866 eV/atom
# **Raw formation energy**: -0.9527 eV/atom
# **Total magnetic moment**: 0.00 μB per cell



2.
# BaYSc2 | Alexandria | PBE | optimized geometry
data_BaYSc2
_space_group_name_H-M_alt 'P 4/m m m'
_space_group_IT_number 123
_space_group_name_Hall '-P 4 2'
_cell_length_a 5.698
_cell_length_b 5.698
_cell_length_c 3.944
_cell_angle_alpha 90.00
_cell_angle_beta 90.00
_cell_angle_gamma 90.00
loop_
_atom_site_label
_atom_site_type_symbol
_atom_site_fract_x
_atom_site_fract_y
_atom_site_fract_z
Ba1 Ba 0.000 0.000 0.000
Y1 Y 0.500 0.500 0.000
Sc1 Sc 0.000 0.500 0.500
# **Formation enthalpy at 0 K**: 1.351 eV per formula unit
# **Total energy**: -4.925 eV/atom
# **N(E_F)**: 7.48 states/eV per cell
# **Energy relative to the lowest polymorph listed for this composition**: 144 meV/atom
# **Total magnetic moment**: 0.00 μB per cell



3.
# Ac5LaPr2Nd | Alexandria | PBE | optimized geometry
data_Ac5LaPr2Nd
_space_group_name_H-M_alt 'I 4/m c m'
_space_group_IT_number 140
_space_group_name_Hall '-I 4 2c'
_cell_length_a 9.300
_cell_length_b 9.300
_cell_length_c 17.442
_cell_angle_alpha 90.00
_cell_angle_beta 90.00
_cell_angle_gamma 90.00
loop_
_atom_site_label
_atom_site_type_symbol
_atom_site_fract_x
_atom_site_fract_y
_atom_site_fract_z
Ac1 Ac 0.000 0.000 0.000
Ac2 Ac 0.209 0.291 0.139
La1 La 0.000 0.000 0.250
Pr1 Pr 0.114 0.386 0.500
Nd1 Nd 0.000 0.500 0.250
# **Formation enthalpy at 0 K**: 2.429 eV per formula unit
# **Total energy**: -4.152 eV/atom
# **N(E_F)**: 70.27 states/eV per cell
# **Total magnetic moment**: 0.00 μB per cell



4.
# PC | Alexandria | PBE | optimized geometry
data_PC
_space_group_name_H-M_alt 'P 4/n m m'
_space_group_IT_number 129
_cell_length_a 2.864
_cell_length_b 2.864
_cell_length_c 5.192
_cell_angle_alpha 90.00
_cell_angle_beta 90.00
_cell_angle_gamma 90.00
loop_
_space_group_symop_operation_xyz
'x,y,z'
'-x,-y,-z'
'-y+1/2,x,z'
'y+1/2,-x,-z'
'-x+1/2,-y+1/2,z'
'x+1/2,y+1/2,-z'
'y,-x+1/2,z'
'-y,x+1/2,-z'
'x+1/2,-y,-z'
'-x+1/2,y,z'
'-y,-x,-z'
'y,x,z'
'-x,y+1/2,-z'
'x,-y+1/2,z'
'y+1/2,x+1/2,-z'
'-y+1/2,-x+1/2,z'
loop_
_atom_site_label
_atom_site_type_symbol
_atom_site_fract_x
_atom_site_fract_y
_atom_site_fract_z
P1 P 0.250 0.250 0.193
C1 C 0.250 0.250 0.829
# **Formation enthalpy at 0 K**: 2.308 eV per formula unit
# **Total energy**: -6.163 eV/atom
# **N(E_F)**: 0.84 states/eV per cell
# **Energy relative to the lowest polymorph listed for this composition**: 842 meV/atom
# **Total magnetic moment**: 0.00 μB per cell



5.
# TlNCl2 | Alexandria | PBE | optimized geometry
data_TlNCl2
_space_group_name_H-M_alt 'R -3 m'
_space_group_IT_number 166
_space_group_name_Hall '-R 3 2"'
_cell_length_a 3.5684
_cell_length_b 3.5684
_cell_length_c 25.6245
_cell_angle_alpha 90.00
_cell_angle_beta 90.00
_cell_angle_gamma 120.00
loop_
_atom_site_label
_atom_site_type_symbol
_atom_site_fract_x
_atom_site_fract_y
_atom_site_fract_z
Tl1 Tl 0.0000 0.0000 0.0000
N1 N 0.0000 0.0000 0.5000
Cl1 Cl 0.0000 0.0000 0.1138
# **Total energy**: -2.425 eV/atom
# **N(E_F)**: 16.89 states/eV per cell
# **Raw formation energy**: 1.1716 eV/atom
# **Energy relative to the lowest polymorph listed for this composition**: 595 meV/atom
# **Total magnetic moment**: 5.25 μB per cell



6.
# TcSbBr2 | Alexandria | PBE | optimized geometry
data_TcSbBr2
_space_group_name_H-M_alt 'P 1 m 1'
_space_group_IT_number 6
_space_group_name_Hall 'P -2y'
_cell_length_a 4.278
_cell_length_b 3.303
_cell_length_c 7.995
_cell_angle_alpha 90.00
_cell_angle_beta 104.95
_cell_angle_gamma 90.00
loop_
_atom_site_label
_atom_site_type_symbol
_atom_site_fract_x
_atom_site_fract_y
_atom_site_fract_z
Tc1 Tc 0.000 0.000 0.000
Sb1 Sb 0.557 0.500 0.118
Br1 Br 0.167 0.000 0.342
Br2 Br 0.881 0.500 0.754
# **Total energy**: -4.409 eV/atom
# **N(E_F)**: 2.72 states/eV per cell
# **Raw formation energy**: 0.0499 eV/atom
# **Energy relative to the lowest polymorph listed for this composition**: 41 meV/atom
# **Total magnetic moment**: 0.00 μB per cell



7.
# KBPb | Alexandria | PBE | optimized geometry
data_KBPb
_space_group_name_H-M_alt 'P 1 m 1'
_space_group_IT_number 6
_space_group_name_Hall 'P -2y'
_cell_length_a 3.911
_cell_length_b 4.702
_cell_length_c 10.275
_cell_angle_alpha 90.00
_cell_angle_beta 100.94
_cell_angle_gamma 90.00
loop_
_atom_site_label
_atom_site_type_symbol
_atom_site_fract_x
_atom_site_fract_y
_atom_site_fract_z
K1 K 0.000 0.000 0.000
K2 K 0.245 0.000 0.489
B1 B 0.737 0.500 0.473
B2 B 0.815 0.500 0.627
Pb1 Pb 0.383 0.500 0.765
Pb2 Pb 0.623 0.500 0.247
# **Formation enthalpy at 0 K**: 1.297 eV per formula unit
# **Total energy**: -3.396 eV/atom
# **N(E_F)**: 1.71 states/eV per cell
# **Energy relative to the lowest polymorph listed for this composition**: 294 meV/atom
# **Total magnetic moment**: 0.00 μB per cell



8.
# Ac2CdTe | Alexandria | PBE | optimized geometry
data_Ac2CdTe
_space_group_name_H-M_alt 'R 3 m'
_space_group_IT_number 160
_space_group_name_Hall 'R 3 -2"'
_cell_length_a 4.4605
_cell_length_b 4.4605
_cell_length_c 26.8318
_cell_angle_alpha 90.00
_cell_angle_beta 90.00
_cell_angle_gamma 120.00
loop_
_atom_site_label
_atom_site_type_symbol
_atom_site_fract_x
_atom_site_fract_y
_atom_site_fract_z
Ac1 Ac 0.0000 0.0000 0.0000
Ac2 Ac 0.0000 0.0000 0.1681
Cd1 Cd 0.0000 0.0000 0.5836
Te1 Te 0.0000 0.0000 0.7511
# **Total energy**: -3.808 eV/atom
# **N(E_F)**: 14.13 states/eV per cell
# **Raw formation energy**: -0.7392 eV/atom
# **Energy relative to the lowest polymorph listed for this composition**: 25 meV/atom
# **Total magnetic moment**: 0.00 μB per cell



9.
# AcLa8Sm2 | Alexandria | PBE | optimized geometry
data_AcLa8Sm2
_space_group_name_H-M_alt 'C 1 2/m 1'
_space_group_IT_number 12
_space_group_name_Hall '-C 2y'
_cell_length_a 20.067
_cell_length_b 7.288
_cell_length_c 5.806
_cell_angle_alpha 90.00
_cell_angle_beta 93.68
_cell_angle_gamma 90.00
loop_
_atom_site_label
_atom_site_type_symbol
_atom_site_fract_x
_atom_site_fract_y
_atom_site_fract_z
Ac1 Ac 0.000 0.000 0.000
La1 La 0.044 0.500 0.240
La2 La 0.134 0.275 0.731
La3 La 0.188 0.000 0.235
Sm1 Sm 0.216 0.500 0.253
# **Formation enthalpy at 0 K**: 1.242 eV per formula unit
# **Total energy**: -4.702 eV/atom
# **N(E_F)**: 35.14 states/eV per cell
# **Energy relative to the lowest polymorph listed for this composition**: 15 meV/atom
# **Total magnetic moment**: 0.00 μB per cell